1.
DFT (PBE) results for Ta2AsN after structural relaxation.

Calculated values
**Symmetry**: P6_3/mmc, No. 194

Unit cell a=3.313 b=3.313 c=11.923 alpha=90.00 beta=90.00 gamma=120.00
Element x y z (fractional)
Ta: 0.333 0.667 0.092
Ta: 0.333 0.667 0.408
Ta: 0.667 0.333 0.592
Ta: 0.667 0.333 0.908
As: 0.333 0.667 0.750
As: 0.667 0.333 0.250
N: 0.000 0.000 0.000
N: 0.000 0.000 0.500



2.
DFT (PBE) results for KReAgTeSe2 after structural relaxation.

Calculated values
**Symmetry**: Cmcm, No. 63

Unit cell a=8.190 b=8.190 c=10.526 alpha=90.00 beta=90.00 gamma=153.01
Element x y z (fractional)
K: 0.235 0.765 0.750
K: 0.765 0.235 0.250
Re: 0.000 0.000 0.000
Re: 0.000 0.000 0.500
Ag: 0.446 0.554 0.250
Ag: 0.554 0.446 0.750
Te: 0.073 0.927 0.250
Te: 0.927 0.073 0.750
Se: 0.389 0.611 0.024
Se: 0.389 0.611 0.476
Se: 0.611 0.389 0.524
Se: 0.611 0.389 0.976



3.
DFT (PBE) results for SmTaN2O after structural relaxation.

Calculated values
**Symmetry**: P2_1/c, No. 14

Unit cell a=7.955 b=8.017 c=11.162 alpha=90.00 beta=134.38 gamma=90.00
Element x y z (fractional)
Sm: 0.046 0.244 0.023
Sm: 0.046 0.256 0.523
Sm: 0.452 0.746 0.476
Sm: 0.452 0.754 0.976
Sm: 0.548 0.246 0.024
Sm: 0.548 0.254 0.524
Sm: 0.954 0.744 0.477
Sm: 0.954 0.756 0.977
Ta: 0.016 0.007 0.262
Ta: 0.016 0.493 0.762
Ta: 0.491 0.503 0.237
Ta: 0.491 0.997 0.737
Ta: 0.509 0.003 0.263
Ta: 0.509 0.497 0.763
Ta: 0.984 0.507 0.238
Ta: 0.984 0.993 0.738
N: 0.021 0.750 0.219
N: 0.021 0.750 0.719
N: 0.190 0.542 0.000
N: 0.190 0.958 0.500
N: 0.300 0.040 0.299
N: 0.300 0.460 0.799
N: 0.473 0.249 0.195
N: 0.473 0.251 0.695
N: 0.527 0.749 0.305
N: 0.527 0.751 0.805
N: 0.700 0.540 0.201
N: 0.700 0.960 0.701
N: 0.810 0.042 0.500
N: 0.810 0.458 0.000
N: 0.979 0.250 0.281
N: 0.979 0.250 0.781
O: 0.203 0.548 0.499
O: 0.203 0.952 0.999
O: 0.310 0.043 0.812
O: 0.310 0.457 0.312
O: 0.690 0.543 0.688
O: 0.690 0.957 0.188
O: 0.797 0.048 0.001
O: 0.797 0.452 0.501



4.
DFT (PBE) results for Sm2Zn3Pt4 after structural relaxation.

Calculated values
**Symmetry**: Cmce, No. 64
**E_form**: -0.876 eV per atom

Unit cell a=8.225 b=8.225 c=7.608 alpha=90.00 beta=90.00 gamma=139.93
Element x y z (fractional)
Sm: 0.112 0.888 0.914
Sm: 0.388 0.612 0.414
Sm: 0.612 0.388 0.586
Sm: 0.888 0.112 0.086
Zn: 0.000 0.000 0.500
Zn: 0.022 0.478 0.750
Zn: 0.478 0.022 0.250
Zn: 0.500 0.500 0.000
Zn: 0.522 0.978 0.750
Zn: 0.978 0.522 0.250
Pt: 0.178 0.822 0.526
Pt: 0.191 0.309 0.750
Pt: 0.309 0.191 0.250
Pt: 0.322 0.678 0.026
Pt: 0.678 0.322 0.974
Pt: 0.691 0.809 0.750
Pt: 0.809 0.691 0.250
Pt: 0.822 0.178 0.474



Number 1: energy -9.74 eV/atom, magnetization 0.0 μB per formula unit. Number 2: energy -4.55 eV/atom, magnetization 2.3 μB per formula unit. Number 3: energy -9.57 eV/atom, magnetization 0.0 μB per formula unit. Number 4: energy -5.04 eV/atom, magnetization 0.0 μB per formula unit.